10
Lattice="0.000 4.119 4.119 4.119 0.000 4.119 4.119 4.119 0.000" Properties=species:S:1:pos:R:3 comment="Sr2YIrO6, relaxed, DFT PBE" e_tot_ev_per_atom=-7.148 pbc="T T T"
Ir 4.119 4.119 4.119
O 2.168 4.119 4.119
O 4.119 2.168 4.119
O 4.119 4.119 6.070
O 4.119 4.119 2.168
O 4.119 6.070 4.119
O 6.070 4.119 4.119
Sr 2.059 2.059 2.059
Sr 6.178 6.178 6.178
Y 0.000 0.000 0.000